VASP calculation (PBE) on a geometry-optimized SmZn2Ag9 structure.

Summary:
Fermi-level density of states: 0.36 states/eV per atom
ΔE_f: -0.0652 eV/atom

a b c (Å): 7.216 8.737 8.737
angles (deg): 80.18 65.61 65.61
Fractional coordinates of all 24 atoms:
Ag 0.676 0.178 0.578
Ag 0.317 0.678 0.078
Ag 0.746 0.578 0.822
Ag 0.676 0.578 0.178
Ag 0.146 0.422 0.178
Ag 0.604 0.078 0.322
Ag 0.004 0.678 0.922
Ag 0.004 0.922 0.678
Ag 0.433 0.422 0.822
Ag 0.074 0.922 0.322
Ag 0.750 0.500 0.500
Ag 0.146 0.178 0.422
Ag 0.000 0.000 0.000
Ag 0.074 0.322 0.922
Ag 0.746 0.822 0.578
Ag 0.317 0.078 0.678
Ag 0.433 0.822 0.422
Ag 0.604 0.322 0.078
Zn 0.375 0.750 0.750
Zn 0.875 0.750 0.250
Zn 0.875 0.250 0.250
Zn 0.875 0.250 0.750
Sm 0.250 0.500 0.500
Sm 0.500 0.000 0.000

=====

VASP calculation (PBE) on a geometry-optimized SmZn6Ag structure.

Summary:
Fermi-level density of states: 0.47 states/eV per atom
ΔE_f: -0.1398 eV/atom

a b c (Å): 4.162 4.162 8.690
angles (deg): 90.00 90.00 90.00
Fractional coordinates of all 8 atoms:
Zn 0.500 0.000 0.687
Zn 0.000 0.500 0.313
Zn 0.500 0.000 0.313
Zn 0.500 0.500 0.139
Zn 0.500 0.500 0.861
Zn 0.000 0.500 0.687
Sm 0.000 0.000 0.000
Ag 0.000 0.000 0.500

=====

VASP calculation (PBE) on a geometry-optimized Sm4Zn3Ag structure.

Summary:
Fermi-level density of states: 1.06 states/eV per atom
Energy above the lowest structure with this stoichiometry: 0.049 eV per atom
ΔE_f: -0.2640 eV/atom

a b c (Å): 3.658 4.613 11.816
angles (deg): 90.00 90.00 90.00
Fractional coordinates of all 8 atoms:
Zn 0.000 0.500 0.568
Zn 0.000 0.000 0.433
Zn 0.500 0.000 0.929
Sm 0.500 0.000 0.652
Sm 0.500 0.500 0.352
Sm 0.000 0.000 0.153
Sm 0.000 0.500 0.845
Ag 0.500 0.500 0.068

=====

Question: Which value of Fermi-level density of states does entry 3 give?
Answer: 1.06 states/eV per atom